No. 1
ScTiTe2 | PBEsol | optimized geometry

a = 6.9463 Å, b = 6.9463 Å, c = 6.9463 Å
α = 90.00°, β = 90.00°, γ = 90.00°
Space group Fm-3m (No. 225)
Unique sites:
Sc 0.0000 0.0000 0.0000 (multiplicity 4)
Ti 0.0000 0.0000 0.5000 (multiplicity 4)
Te 0.2500 0.2500 0.2500 (multiplicity 8)

Total energy ... -99.50 eV/cell
Fermi-level density of states ... 1.16 states/eV/atom
Volume ... 20.9 Å³ per atom



No. 2
ScTeW2 | PBEsol | optimized geometry

a = 3.3600 Å, b = 5.0222 Å, c = 8.9112 Å
α = 90.00°, β = 90.00°, γ = 90.00°
Space group Cmm2 (No. 35)
Unique sites:
Sc 0.0000 0.0000 0.0000 (multiplicity 2)
Te 0.0000 0.5000 0.7317 (multiplicity 2)
W 0.0000 0.0000 0.4639 (multiplicity 2)
W 0.0000 0.5000 0.2482 (multiplicity 2)

Total energy ... -72.73 eV/cell
Fermi-level density of states ... 0.82 states/eV/atom
Volume ... 18.8 Å³ per atom



No. 3
ScTeW2 | PBEsol | optimized geometry

a = 4.5974 Å, b = 3.2870 Å, c = 4.8560 Å
α = 90.00°, β = 104.01°, γ = 90.00°
Space group P2/m (No. 10)
Unique sites:
Sc 0.0000 0.0000 0.0000 (multiplicity 1)
Te 0.5000 0.5000 0.0000 (multiplicity 1)
W 0.0000 0.5000 0.5000 (multiplicity 1)
W 0.5000 0.0000 0.5000 (multiplicity 1)

Total energy ... -36.63 eV/cell
Fermi-level density of states ... 0.81 states/eV/atom
Volume ... 17.8 Å³ per atom



No. 4
ScTeW2 | PBEsol | optimized geometry

a = 6.5701 Å, b = 6.5701 Å, c = 6.5701 Å
α = 90.00°, β = 90.00°, γ = 90.00°
Space group F-43m (No. 216)
Unique sites:
Sc 0.0000 0.0000 0.0000 (multiplicity 4)
Te 0.2500 0.2500 0.7500 (multiplicity 4)
W 0.0000 0.0000 0.5000 (multiplicity 4)
W 0.2500 0.2500 0.2500 (multiplicity 4)

Total energy ... -144.09 eV/cell
Fermi-level density of states ... 1.18 states/eV/atom
Volume ... 17.7 Å³ per atom



No. 5
ScTeW2 | PBEsol | optimized geometry

a = 5.7616 Å, b = 6.8660 Å, c = 3.5430 Å
α = 90.00°, β = 90.00°, γ = 90.00°
Space group Cmmm (No. 65)
Unique sites:
Sc 0.0000 0.0000 0.0000 (multiplicity 2)
Te 0.0000 0.5000 0.0000 (multiplicity 2)
W 0.2500 0.2500 0.5000 (multiplicity 4)

Total energy ... -71.63 eV/cell
Fermi-level density of states ... 0.85 states/eV/atom
Volume ... 17.5 Å³ per atom



No. 6
Sc2TeW | PBEsol | optimized geometry

a = 4.2660 Å, b = 4.2660 Å, c = 8.3589 Å
α = 90.00°, β = 90.00°, γ = 90.00°
Space group I4/mmm (No. 139)
Unique sites:
Sc 0.0000 0.5000 0.2500 (multiplicity 4)
Te 0.0000 0.0000 0.0000 (multiplicity 2)
W 0.0000 0.0000 0.5000 (multiplicity 2)

Total energy ... -61.17 eV/cell
Fermi-level density of states ... 1.24 states/eV/atom
Volume ... 19.0 Å³ per atom